(1)
First-principles (GGA-PBE) data for a geometry-optimized Nd2MgGePd6 structure, as listed in Alexandria via LeMat-Bulk.

Values from the calculation:
**N(E_F)**: 0.45 states/eV per atom
**Symmetry**: C2/m, No. 12
**ΔH_f (0 K)**: -0.6242 eV/atom
**Total magnetic moment**: 0.000 μB per formula unit

The structure in CIF format:
```
data_Nd2MgGePd6
_chemical_formula_sum 'Nd2 Mg1 Ge1 Pd6'
_symmetry_space_group_name_H-M 'P 1'
_symmetry_Int_Tables_number 1
_cell_length_a 6.4765
_cell_length_b 6.4765
_cell_length_c 7.8255
_cell_angle_alpha 125.53
_cell_angle_beta 125.53
_cell_angle_gamma 51.08
loop_
_symmetry_equiv_pos_as_xyz
'x,y,z'
loop_
_atom_site_label
_atom_site_type_symbol
_atom_site_fract_x
_atom_site_fract_y
_atom_site_fract_z
Nd1 Nd 0.0016 0.0016 0.2538
Nd2 Nd 0.9984 0.9984 0.7462
Mg1 Mg 0.5000 0.5000 0.0000
Ge1 Ge 0.5000 0.5000 0.5000
Pd1 Pd 0.0087 0.5059 0.2033
Pd2 Pd 0.3232 0.3232 0.5750
Pd3 Pd 0.4941 0.9913 0.7967
Pd4 Pd 0.5059 0.0087 0.2033
Pd5 Pd 0.6768 0.6768 0.4250
Pd6 Pd 0.9913 0.4941 0.7967
```

=====

(2)
First-principles (GGA-PBE) data for a geometry-optimized NdMgGe2Pd structure, as listed in Alexandria via LeMat-Bulk.

Values from the calculation:
**N(E_F)**: 0.27 states/eV per atom
**Symmetry**: I-4m2, No. 119
**ΔH_f (0 K)**: -0.7441 eV/atom
**Total magnetic moment**: 0.000 μB per formula unit

The structure in CIF format:
```
data_NdMgGe2Pd
_chemical_formula_sum 'Nd1 Mg1 Ge2 Pd1'
_symmetry_space_group_name_H-M 'P 1'
_symmetry_Int_Tables_number 1
_cell_length_a 6.3751
_cell_length_b 6.3751
_cell_length_c 6.3751
_cell_angle_alpha 141.52
_cell_angle_beta 141.52
_cell_angle_gamma 55.55
loop_
_symmetry_equiv_pos_as_xyz
'x,y,z'
loop_
_atom_site_label
_atom_site_type_symbol
_atom_site_fract_x
_atom_site_fract_y
_atom_site_fract_z
Nd1 Nd 0.0000 0.0000 0.0000
Mg1 Mg 0.2500 0.7500 0.5000
Ge1 Ge 0.3899 0.3899 0.0000
Ge2 Ge 0.6101 0.6101 0.0000
Pd1 Pd 0.7500 0.2500 0.5000
```